! HgTe2Br, optimized geometry, DFT PBE; values from VASP
&SYSTEM
  ibrav = 0, nat = 4, ntyp = 3
/
ATOMIC_SPECIES
Hg 200.59 Hg.upf
Te 127.60 Te.upf
Br 79.90 Br.upf
ATOMIC_POSITIONS crystal
Hg 0.000 0.000 0.000
Te 0.224 0.724 0.500
Te 0.776 0.276 0.500
Br 0.500 0.500 0.000
CELL_PARAMETERS angstrom
-2.049 2.091 8.332
2.049 -2.091 8.332
2.049 2.091 -8.332
! - M_tot (μB/f.u.) = 0.0
! - N(E_F) (states/eV per cell) = 1.7
! - energy above the most stable polymorph in this dataset (eV/f.u.) = 0.35
! - energy relative to the elements, uncorrected (eV/atom) = -0.023
! - density (Mg/m³) = 6.2

! Rb6AsH2, optimized geometry, DFT PBE; values from VASP
&SYSTEM
  ibrav = 0, nat = 9, ntyp = 3
/
ATOMIC_SPECIES
Rb 85.47 Rb.upf
As 74.92 As.upf
H 1.01 H.upf
ATOMIC_POSITIONS crystal
Rb 0.028 0.028 0.203
Rb 0.258 0.258 0.876
Rb 0.359 0.359 0.426
Rb 0.641 0.641 0.574
Rb 0.742 0.742 0.124
Rb 0.972 0.972 0.797
As 0.000 0.000 0.500
H 0.186 0.186 0.085
H 0.814 0.814 0.915
CELL_PARAMETERS angstrom
7.905 -3.008 0.000
7.905 3.008 0.000
-6.221 0.000 8.534
! - E (eV per cell) = -18.4
! - M_tot (μB/f.u.) = 0.8
! - N(E_F) (states/eV per cell) = 3.1
! - density (Mg/m³) = 2.4

! ErPaZnOs, optimized geometry, DFT PBE; values from VASP
&SYSTEM
  ibrav = 0, nat = 4, ntyp = 4
/
ATOMIC_SPECIES
Er 167.26 Er.upf
Pa 231.04 Pa.upf
Zn 65.41 Zn.upf
Os 190.23 Os.upf
ATOMIC_POSITIONS crystal
Er 0.000 0.000 0.000
Pa 0.500 0.500 0.500
Zn 0.250 0.250 0.250
Os 0.750 0.750 0.750
CELL_PARAMETERS angstrom
0.000 3.466 3.466
3.466 0.000 3.466
3.466 3.466 0.000
! - M_tot (μB/f.u.) = 0.0
! - N(E_F) (states/eV per cell) = 3.9
! - ΔH_f (0 K) (meV/atom) = -186
! - density (Mg/m³) = 13.0

! LiMg2SF, optimized geometry, DFT PBE; values from VASP
&SYSTEM
  ibrav = 0, nat = 5, ntyp = 4
/
ATOMIC_SPECIES
Li 6.94 Li.upf
Mg 24.30 Mg.upf
S 32.06 S.upf
F 19.00 F.upf
ATOMIC_POSITIONS crystal
Li 0.000 0.000 0.000
Mg 0.000 0.500 0.500
Mg 0.500 0.000 0.500
S 0.000 0.000 0.500
F 0.500 0.500 0.000
CELL_PARAMETERS angstrom
4.972 0.000 0.000
0.000 4.972 0.000
0.000 0.000 4.512
! - M_tot (μB/f.u.) = 0.0
! - N(E_F) (states/eV per cell) = 1.9
! - energy relative to the elements, uncorrected (eV/atom) = -0.759
! - density (Mg/m³) = 1.6

! Pr3Al8Ag, optimized geometry, DFT PBE; values from VASP
&SYSTEM
  ibrav = 0, nat = 12, ntyp = 3
/
ATOMIC_SPECIES
Pr 140.91 Pr.upf
Al 26.98 Al.upf
Ag 107.87 Ag.upf
ATOMIC_POSITIONS crystal
Pr 0.000 0.000 0.000
Pr 0.130 0.130 0.130
Pr 0.512 0.512 0.512
Al 0.066 0.066 0.563
Al 0.066 0.563 0.066
Al 0.069 0.565 0.565
Al 0.316 0.316 0.316
Al 0.563 0.066 0.066
Al 0.565 0.069 0.565
Al 0.565 0.565 0.069
Al 0.816 0.816 0.816
Ag 0.643 0.643 0.643
CELL_PARAMETERS angstrom
2.835 1.637 9.161
-2.835 1.637 9.161
0.000 -3.274 9.161
! - M_tot (μB/f.u.) = 0.0
! - N(E_F) (states/eV per cell) = 6.9
! - ΔH_f (0 K) (meV/atom) = -331
! - density (Mg/m³) = 4.9

! Tm4CuTe, optimized geometry, DFT PBE; values from VASP
&SYSTEM
  ibrav = 0, nat = 24, ntyp = 3
/
ATOMIC_SPECIES
Tm 168.93 Tm.upf
Cu 63.55 Cu.upf
Te 127.60 Te.upf
ATOMIC_POSITIONS crystal
Tm 0.016 0.250 0.069
Tm 0.023 0.250 0.783
Tm 0.124 0.250 0.555
Tm 0.158 0.250 0.351
Tm 0.342 0.750 0.851
Tm 0.376 0.750 0.055
Tm 0.477 0.750 0.283
Tm 0.484 0.750 0.569
Tm 0.516 0.250 0.431
Tm 0.523 0.250 0.717
Tm 0.624 0.250 0.945
Tm 0.658 0.250 0.149
Tm 0.842 0.750 0.649
Tm 0.876 0.750 0.445
Tm 0.977 0.750 0.217
Tm 0.984 0.750 0.931
Cu 0.245 0.250 0.950
Cu 0.255 0.750 0.450
Cu 0.745 0.250 0.550
Cu 0.755 0.750 0.050
Te 0.222 0.750 0.687
Te 0.278 0.250 0.187
Te 0.722 0.750 0.813
Te 0.778 0.250 0.313
CELL_PARAMETERS angstrom
8.218 0.000 0.000
0.000 3.862 0.000
0.000 0.000 19.214
! - M_tot (μB/f.u.) = 0.0
! - N(E_F) (states/eV per cell) = 30.0
! - energy above the most stable polymorph in this dataset (eV/f.u.) = 0.00
! - energy relative to the elements, uncorrected (eV/atom) = -0.496
! - density (Mg/m³) = 9.4

! BeBI2O, optimized geometry, DFT PBE; values from VASP
&SYSTEM
  ibrav = 0, nat = 5, ntyp = 4
/
ATOMIC_SPECIES
Be 9.01 Be.upf
B 10.81 B.upf
I 126.90 I.upf
O 16.00 O.upf
ATOMIC_POSITIONS crystal
Be 0.000 0.000 0.000
B 0.500 0.500 0.500
I 0.000 0.500 0.500
I 0.500 0.000 0.500
O 0.500 0.500 0.000
CELL_PARAMETERS angstrom
6.414 0.000 0.000
0.000 6.414 0.000
0.000 0.000 2.811
! - M_tot (μB/f.u.) = 0.0
! - N(E_F) (states/eV per cell) = 1.2
! - energy above the most stable polymorph in this dataset (eV/f.u.) = 1.11
! - energy relative to the elements, uncorrected (eV/atom) = 0.376
! - density (Mg/m³) = 4.2

! ZnTcPb, optimized geometry, DFT PBE; values from VASP
&SYSTEM
  ibrav = 0, nat = 3, ntyp = 3
/
ATOMIC_SPECIES
Zn 65.41 Zn.upf
Tc 98.00 Tc.upf
Pb 207.20 Pb.upf
ATOMIC_POSITIONS crystal
Zn 0.000 0.000 0.000
Tc 0.384 0.384 0.000
Pb 0.699 0.699 0.000
CELL_PARAMETERS angstrom
-1.700 1.700 4.778
1.700 -1.700 4.778
1.700 1.700 -4.778
! - M_tot (μB/f.u.) = 0.8
! - N(E_F) (states/eV per cell) = 2.5
! - energy above the most stable polymorph in this dataset (eV/f.u.) = 0.00
! - ΔH_f (0 K) (meV/atom) = 436
! - density (Mg/m³) = 11.1

! CsNa2CN2, optimized geometry, DFT PBE; values from VASP
&SYSTEM
  ibrav = 0, nat = 6, ntyp = 4
/
ATOMIC_SPECIES
Cs 132.91 Cs.upf
Na 22.99 Na.upf
C 12.01 C.upf
N 14.01 N.upf
ATOMIC_POSITIONS crystal
Cs 0.000 0.000 0.000
Na 0.337 0.837 0.500
Na 0.663 0.163 0.500
C 0.500 0.500 0.000
N 0.426 0.426 0.000
N 0.574 0.574 0.000
CELL_PARAMETERS angstrom
-1.878 2.592 8.401
1.878 -2.592 8.401
1.878 2.592 -8.401
! - M_tot (μB/f.u.) = 0.0
! - N(E_F) (states/eV per cell) = 0.9
! - energy relative to the elements, uncorrected (eV/atom) = -0.305
! - density (Mg/m³) = 2.2

! MnCoSnAu, optimized geometry, DFT PBE; values from VASP
&SYSTEM
  ibrav = 0, nat = 4, ntyp = 4
/
ATOMIC_SPECIES
Mn 54.94 Mn.upf
Co 58.93 Co.upf
Sn 118.71 Sn.upf
Au 196.97 Au.upf
ATOMIC_POSITIONS crystal
Mn 0.000 0.000 0.000
Co 0.500 0.500 0.500
Sn 0.250 0.250 0.250
Au 0.750 0.750 0.750
CELL_PARAMETERS angstrom
0.000 3.157 3.157
3.157 0.000 3.157
3.157 3.157 0.000
! - M_tot (μB/f.u.) = 4.2
! - N(E_F) (states/eV per cell) = 4.2
! - ΔH_f (0 K) (meV/atom) = 104
! - density (Mg/m³) = 11.3

! NiBr, optimized geometry, DFT PBE; values from VASP
&SYSTEM
  ibrav = 0, nat = 6, ntyp = 2
/
ATOMIC_SPECIES
Ni 58.69 Ni.upf
Br 79.90 Br.upf
ATOMIC_POSITIONS crystal
Ni 0.000 0.000 0.000
Ni 0.109 0.109 0.402
Ni 0.500 0.500 0.318
Br 0.538 0.538 0.778
Br 0.705 0.705 0.466
Br 0.890 0.890 0.177
CELL_PARAMETERS angstrom
8.118 -1.788 0.000
8.118 1.788 0.000
-1.973 0.000 5.343
! - M_tot (μB/f.u.) = 0.7
! - N(E_F) (states/eV per cell) = 5.4
! - energy relative to the elements, uncorrected (eV/atom) = -0.028
! - density (Mg/m³) = 4.5

! GaHCl3, optimized geometry, DFT PBE; values from VASP
&SYSTEM
  ibrav = 0, nat = 5, ntyp = 3
/
ATOMIC_SPECIES
Ga 69.72 Ga.upf
H 1.01 H.upf
Cl 35.45 Cl.upf
ATOMIC_POSITIONS crystal
Ga 0.000 0.000 0.000
H 0.500 0.500 0.500
Cl 0.000 0.500 0.500
Cl 0.500 0.000 0.500
Cl 0.500 0.500 0.000
CELL_PARAMETERS angstrom
4.499 0.000 0.000
0.000 4.499 0.000
0.000 0.000 4.499
! - M_tot (μB/f.u.) = 0.9
! - N(E_F) (states/eV per cell) = 5.6
! - energy above the most stable polymorph in this dataset (eV/f.u.) = 3.17
! - density (Mg/m³) = 3.2

! CoAg2W, optimized geometry, DFT PBE; values from VASP
&SYSTEM
  ibrav = 0, nat = 4, ntyp = 3
/
ATOMIC_SPECIES
Co 58.93 Co.upf
Ag 107.87 Ag.upf
W 183.84 W.upf
ATOMIC_POSITIONS crystal
Co 0.000 0.000 0.000
Ag 0.500 0.500 0.237
Ag 0.500 0.500 0.763
W 0.000 0.000 0.500
CELL_PARAMETERS angstrom
1.543 -2.190 0.000
1.543 2.190 0.000
0.000 0.000 9.369
! - M_tot (μB/f.u.) = 1.7
! - N(E_F) (states/eV per cell) = 3.3
! - energy above the most stable polymorph in this dataset (eV/f.u.) = 1.12
! - ΔH_f (0 K) (meV/atom) = 608
! - density (Mg/m³) = 12.0